# 1
# TaReS3 GGA-PBE relaxed
# crystal system	cubic
# relative energy among the computed polymorphs	150.0	meV/atom
# DOS(E_F)	1.124	states/eV per atom
data_TaReS3
_symmetry_space_group_name_H-M 'P m -3 m'
_symmetry_Int_Tables_number 221
_symmetry_space_group_name_Hall '-P 4 2 3'
_cell_length_a 4.584
_cell_length_b 4.584
_cell_length_c 4.584
_cell_angle_alpha 90.00
_cell_angle_beta 90.00
_cell_angle_gamma 90.00
loop_
_atom_site_label
_atom_site_type_symbol
_atom_site_fract_x
_atom_site_fract_y
_atom_site_fract_z
_atom_site_occupancy
Ta1 Ta 0.000 0.000 0.000 1
Re1 Re 0.500 0.500 0.500 1
S1 S 0.000 0.500 0.500 1

# 2
# Pr4PtPb2 GGA-PBE relaxed
# DFT formation energy	-0.572	eV/atom
# crystal system	monoclinic
# DOS(E_F)	0.813	states/eV per atom
data_Pr4PtPb2
_symmetry_space_group_name_H-M 'P 1 21/m 1'
_symmetry_Int_Tables_number 11
_symmetry_space_group_name_Hall '-P 2yb'
_cell_length_a 7.089
_cell_length_b 6.920
_cell_length_c 9.464
_cell_angle_alpha 90.00
_cell_angle_beta 104.82
_cell_angle_gamma 90.00
loop_
_atom_site_label
_atom_site_type_symbol
_atom_site_fract_x
_atom_site_fract_y
_atom_site_fract_z
_atom_site_occupancy
Pr1 Pr 0.172 0.250 0.097 1
Pr2 Pr 0.231 0.750 0.367 1
Pr3 Pr 0.314 0.006 0.747 1
Pt1 Pt 0.453 0.250 0.383 1
Pb1 Pb 0.086 0.250 0.432 1
Pb2 Pb 0.312 0.750 0.043 1